Al2HgAu | PBE | relaxed

## Properties
ΔH_f (0 K)   14 kJ/mol of formula units
Distance to the lowest polymorph of the same formula   14.3 kJ per mole of atoms
Total magnetic moment   0.0 μB/cell

Lattice parameters (Å, degrees): 4.287 4.287 8.061 90.00 90.00 90.00
Space group I4/mmm (No. 139)
Inequivalent atoms, fractional coordinates:
1 Al 0.000 0.500 0.250 [4 per cell]
2 Hg 0.000 0.000 0.000 [2 per cell]
3 Au 0.000 0.000 0.500 [2 per cell]